## Sr3CaAl (PBE)

Data for an optimized crystal structure of Sr3CaAl.

Output
As for the energy relative to the elements: 0.132 eV/atom. As for the space group: Pm-3m. The calculation puts the energy above the most stable polymorph in this dataset at 0.000 eV per atom.

a b c (Å): 6.3478 6.3478 6.3478
angles (deg): 90.00 90.00 90.00
Atoms (fractional coordinates):
Sr 0.5000 0.0000 0.0000
Al 0.0000 0.0000 0.0000
Sr 0.0000 0.5000 0.0000
Ca 0.5000 0.5000 0.5000
Sr 0.0000 0.0000 0.5000

---

## BaThO3 (PBE)

Data for an optimized crystal structure of BaThO3.

Output
The calculation puts the formation energy from raw total energies at -3.354 eV/atom. As for the space group: Pnma.

a b c (Å): 6.3934 6.4404 9.0549
angles (deg): 90.00 90.00 90.00
Atoms (fractional coordinates):
O 0.2851 0.7146 0.5493
Th 0.0000 0.5000 0.0000
Th 0.5000 0.0000 0.0000
O 0.0905 0.4723 0.2500
O 0.7149 0.2854 0.0493
Ba 0.0101 0.9703 0.7500
O 0.9095 0.5277 0.7500
O 0.7851 0.7854 0.4507
Ba 0.5101 0.5297 0.2500
Ba 0.4899 0.4703 0.7500
O 0.5905 0.0277 0.7500
O 0.7851 0.7854 0.0493
Ba 0.9899 0.0297 0.2500
O 0.4095 0.9723 0.2500
O 0.2851 0.7146 0.9507
O 0.7149 0.2854 0.4507
Th 0.0000 0.5000 0.5000
Th 0.5000 0.0000 0.5000
O 0.2149 0.2146 0.5493
O 0.2149 0.2146 0.9507

---

## Mg2In2S5 (PBE)

Data for an optimized crystal structure of Mg2In2S5.

Output
The calculation puts the formation energy from raw total energies at -0.822 eV/atom. As for the space group: C2/m.

a b c (Å): 3.8947 6.6192 9.6389
angles (deg): 105.73 101.66 90.00
Atoms (fractional coordinates):
S 0.0000 0.0000 0.0000
Mg 0.5768 0.2797 0.1536
S 0.1026 0.5130 0.2052
S 0.3190 0.8891 0.6380
In 0.8690 0.1133 0.7379
S 0.8974 0.4870 0.7948
Mg 0.4232 0.7203 0.8464
In 0.1310 0.8867 0.2621
S 0.6810 0.1109 0.3620

---

## LiSe2O (PBE)

Data for an optimized crystal structure of LiSe2O.

Output
The calculation puts the formation energy from raw total energies at -0.194 eV/atom. As for the space group: I4_1/amd.

a b c (Å): 5.4652 5.4652 7.4880
angles (deg): 68.60 68.60 90.00
Atoms (fractional coordinates):
Se 0.3750 0.1250 0.7500
Se 0.8750 0.1250 0.7500
Li 0.2500 0.7500 0.5000
O 0.7500 0.2500 0.5000
Se 0.8750 0.6250 0.2500
Se 0.8750 0.1250 0.2500
Li 0.5000 0.5000 0.0000
O 0.0000 0.0000 0.0000

---

## LaZr3N (PBE)

Data for an optimized crystal structure of LaZr3N.

Output
The calculation puts the formation energy from raw total energies at 2.303 eV/atom. As for the space group: Pm-3m. The calculation puts the energy above the most stable polymorph in this dataset at 2.746 eV per atom.

a b c (Å): 5.0864 5.0864 5.0864
angles (deg): 90.00 90.00 90.00
Atoms (fractional coordinates):
La 0.0000 0.0000 0.0000
Zr 0.5000 0.0000 0.0000
Zr 0.0000 0.0000 0.5000
Zr 0.0000 0.5000 0.0000
N 0.5000 0.5000 0.5000

---

## NpSbRh5 (PBE)

Data for an optimized crystal structure of NpSbRh5.

Output
The calculation puts the formation energy from raw total energies at -0.159 eV/atom. As for the space group: Imma.

a b c (Å): 6.8631 6.8631 6.7396
angles (deg): 60.58 60.58 75.28
Each line ends with the local moment (μB).
Atoms (fractional coordinates):
Rh 0.7277 0.7963 0.4881  -0.15
Sb 0.0000 0.0000 0.5000  0.01
Np 0.6297 0.3703 0.7500  2.77
Rh 0.9998 0.4999 0.2942  -0.21
Rh 0.5001 0.0002 0.2058  -0.21
Sb 0.0000 0.0000 0.0000  0.01
Rh 0.2723 0.2037 0.5119  -0.15
Np 0.3703 0.6297 0.2500  2.77
Rh 0.2800 0.7200 0.7500  -0.17
Rh 0.7200 0.2800 0.2500  -0.17
Rh 0.2037 0.2723 0.0119  -0.15
Rh 0.4999 0.9998 0.7942  -0.21
Rh 0.7963 0.7277 0.9881  -0.15
Rh 0.0002 0.5001 0.7058  -0.21

---

## Pu2GaPPd6 (PBE)

Data for an optimized crystal structure of Pu2GaPPd6.

Output
As for the energy relative to the elements: -0.527 eV/atom. As for the space group: Pmmn.

a b c (Å): 5.5664 8.0933 8.6703
angles (deg): 90.00 90.00 90.00
Each line ends with the local moment (μB).
Atoms (fractional coordinates):
Pd 0.7480 0.0069 0.0000  -0.02
Pd 0.2494 0.4676 0.5000  -0.03
Pd 0.2506 0.5324 0.0000  -0.03
Pd 0.2520 0.0069 0.0000  -0.02
Ga 0.5000 0.2771 0.0000  0.00
Pd 0.7494 0.5324 0.0000  -0.03
Pd 0.5000 0.1169 0.2518  -0.04
Pu 0.5000 0.7298 0.2622  5.30
P 0.5000 0.2367 0.5000  -0.03
Pd 0.7506 0.4676 0.5000  -0.03
Pu 0.0000 0.2702 0.2378  5.30
Pd 0.5000 0.1169 0.7482  -0.04
P 0.0000 0.7633 0.0000  -0.03
Pu 0.0000 0.2702 0.7622  5.30
Pd 0.7520 0.9931 0.5000  -0.02
Ga 0.0000 0.7229 0.5000  0.00
Pu 0.5000 0.7298 0.7378  5.30
Pd 0.0000 0.8831 0.7518  -0.04
Pd 0.2480 0.9931 0.5000  -0.02
Pd 0.0000 0.8831 0.2482  -0.04

---

## ZrMo2Se (PBE)

Data for an optimized crystal structure of ZrMo2Se.

Output
The calculation puts the formation energy from raw total energies at -0.031 eV/atom. As for the space group: P4/mmm.

a b c (Å): 4.9952 3.7576 3.7576
angles (deg): 90.00 90.00 90.00
Atoms (fractional coordinates):
Se 0.5000 0.5000 0.0000
Mo 0.0000 0.0000 0.0000
Mo 0.0000 0.5000 0.5000
Zr 0.5000 0.0000 0.5000

---

## CaAs2PbBr (PBE)

Data for an optimized crystal structure of CaAs2PbBr.

Output
The calculation puts the formation energy from raw total energies at 0.042 eV/atom. As for the space group: P4/mmm. The calculation puts the energy above the most stable polymorph in this dataset at 0.000 eV per atom.

a b c (Å): 5.3779 5.3779 5.8043
angles (deg): 90.00 90.00 90.00
Atoms (fractional coordinates):
Pb 0.0000 0.0000 0.0000
Br 0.0000 0.0000 0.5000
As 0.5000 0.0000 0.0000
Ca 0.5000 0.5000 0.5000
As 0.0000 0.5000 0.0000

---

## Hf3N2O3 (PBE)

Data for an optimized crystal structure of Hf3N2O3.

Output
The calculation puts the formation energy from raw total energies at -2.760 eV/atom. As for the space group: Cmcm. The calculation puts the energy above the most stable polymorph in this dataset at 0.004 eV per atom.

a b c (Å): 5.6490 5.6490 10.5696
angles (deg): 90.00 90.00 138.04
Atoms (fractional coordinates):
N 0.3006 0.6994 0.9211
Hf 0.8560 0.1440 0.5567
O 0.7518 0.2482 0.7500
O 0.9565 0.0435 0.1160
O 0.0435 0.9565 0.6160
Hf 0.1918 0.8082 0.7500
O 0.2482 0.7518 0.2500
Hf 0.8560 0.1440 0.9433
Hf 0.1440 0.8560 0.4433
N 0.3006 0.6994 0.5789
Hf 0.8082 0.1918 0.2500
Hf 0.1440 0.8560 0.0567
O 0.9565 0.0435 0.3840
N 0.6994 0.3006 0.4211
O 0.0435 0.9565 0.8840
N 0.6994 0.3006 0.0789

---

## TiCrReRh (PBE)

Data for an optimized crystal structure of TiCrReRh.

Output
As for the energy relative to the elements: -0.263 eV/atom. As for the space group: F-43m.

a b c (Å): 4.3297 4.3297 4.3297
angles (deg): 60.00 60.00 60.00
Each line ends with the local moment (μB).
Atoms (fractional coordinates):
Cr 0.7500 0.7500 0.7500  2.12
Rh 0.0000 0.0000 0.0000  0.36
Re 0.5000 0.5000 0.5000  -0.41
Ti 0.2500 0.2500 0.2500  -0.03

---

## PuAsH (PBE)

Data for an optimized crystal structure of PuAsH.

Output
As for the space group: P-6m2. The calculation puts the energy above the most stable polymorph in this dataset at 0.000 eV per atom.

a b c (Å): 3.8835 3.8261 3.8261
angles (deg): 120.00 90.00 90.00
Each line ends with the local moment (μB).
Atoms (fractional coordinates):
Pu 0.1667 0.6667 0.3333  4.43
As 0.6667 0.3333 0.6667  -0.27
H 0.1665 0.0000 0.0000  -0.03

---

## CdCo2Pd2 (PBE)

Data for an optimized crystal structure of CdCo2Pd2.

Output
As for the energy relative to the elements: 0.101 eV/atom. As for the space group: P4/mbm. The calculation puts the energy above the most stable polymorph in this dataset at 0.000 eV per atom.

a b c (Å): 7.3426 7.3426 2.7985
angles (deg): 90.00 90.00 90.00
Each line ends with the local moment (μB).
Atoms (fractional coordinates):
Pd 0.6840 0.8160 0.5000  0.27
Cd 0.5000 0.5000 0.0000  0.00
Co 0.6089 0.1089 0.0000  1.89
Co 0.3911 0.8911 0.0000  1.89
Pd 0.8160 0.3160 0.5000  0.28
Co 0.1089 0.3911 0.0000  1.94
Co 0.8911 0.6089 0.0000  1.94
Pd 0.1840 0.6840 0.5000  0.28
Cd 0.0000 0.0000 0.0000  0.00
Pd 0.3160 0.1840 0.5000  0.27

---

## Sc2AlNi (PBE)

Data for an optimized crystal structure of Sc2AlNi.

Output
As for the energy relative to the elements: -0.269 eV/atom. As for the space group: I-4m2.

a b c (Å): 5.2538 5.2538 5.2538
angles (deg): 135.23 135.23 65.17
Atoms (fractional coordinates):
Al 0.5000 0.5000 0.0000
Ni 0.7500 0.2500 0.5000
Sc 0.2500 0.7500 0.5000
Sc 0.0000 0.0000 0.0000

---

## Na3Tl8Sb2 (PBE)

Data for an optimized crystal structure of Na3Tl8Sb2.

Output
The calculation puts the formation energy from raw total energies at 0.153 eV/atom. As for the space group: R-3m.

a b c (Å): 15.0217 15.0217 15.0217
angles (deg): 23.44 23.44 23.44
Atoms (fractional coordinates):
Tl 0.9607 0.9607 0.4657
Sb 0.3834 0.3834 0.3834
Tl 0.9344 0.9344 0.9344
Na 0.3024 0.3024 0.3024
Tl 0.0393 0.5343 0.0393
Tl 0.0656 0.0656 0.0656
Tl 0.9607 0.4657 0.9607
Na 0.6976 0.6976 0.6976
Tl 0.5343 0.0393 0.0393
Sb 0.6166 0.6166 0.6166
Na 0.0000 0.0000 0.0000
Tl 0.4657 0.9607 0.9607
Tl 0.0393 0.0393 0.5343

---

## DyHfCu4 (PBE)

Data for an optimized crystal structure of DyHfCu4.

Output
As for the energy relative to the elements: -0.078 eV/atom. As for the space group: F-43m. The calculation puts the energy above the most stable polymorph in this dataset at 0.097 eV per atom.

a b c (Å): 5.1356 5.1356 5.1356
angles (deg): 60.00 60.00 60.00
Atoms (fractional coordinates):
Cu 0.6243 0.6243 0.1270
Cu 0.1270 0.6243 0.6243
Cu 0.6243 0.1270 0.6243
Hf 0.2500 0.2500 0.2500
Cu 0.6243 0.6243 0.6243
Dy 0.0000 0.0000 0.0000

---

## Ga4CoRh (PBE)

Data for an optimized crystal structure of Ga4CoRh.

Output
As for the energy relative to the elements: -0.314 eV/atom. As for the space group: C2/c.

a b c (Å): 5.8203 5.8084 7.0622
angles (deg): 114.25 114.30 90.07
Atoms (fractional coordinates):
Ga 0.7646 0.5000 0.4998
Rh 0.3754 0.6254 0.2508
Ga 0.0003 0.7639 0.0002
Ga 0.2354 0.5000 0.5002
Co 0.8747 0.1247 0.2494
Ga 0.9997 0.2361 0.9998
Ga 0.5000 0.2363 0.0002
Rh 0.6246 0.3746 0.7492
Ga 0.2352 0.9997 0.4998
Ga 0.7648 0.0003 0.5002
Ga 0.5000 0.7637 0.9998
Co 0.1253 0.8753 0.7506